Below is crystalline LiCaAcSi at its relaxed geometry, with properties calculated at the PBE level. Values from VASP.

Quantum ESPRESSO input file:
```
&SYSTEM
  ibrav = 0, nat = 4, ntyp = 4
/
ATOMIC_SPECIES
Li 6.94 Li.upf
Ca 40.08 Ca.upf
Ac 227.00 Ac.upf
Si 28.09 Si.upf
ATOMIC_POSITIONS angstrom
Li 0.000 0.000 0.000
Ca -1.931 -0.776 -2.533
Ac -5.794 -2.328 -7.599
Si -3.862 -1.552 -5.066
CELL_PARAMETERS angstrom
-0.204 -0.611 -5.315
-3.080 -3.821 -2.139
-4.441 1.328 -2.679
```

Output
* ΔE_f (raw): -0.23 eV/atom
* calculated total energy: -0.132 Ha/atom

---

Below is crystalline SrAl2W2 at its relaxed geometry, with properties calculated at the PBE level. Values from VASP.

Quantum ESPRESSO input file:
```
&SYSTEM
  ibrav = 0, nat = 5, ntyp = 3
/
ATOMIC_SPECIES
W 183.84 W.upf
Al 26.98 Al.upf
Sr 87.62 Sr.upf
ATOMIC_POSITIONS angstrom
W 0.000 0.000 3.217
Al 0.000 2.475 2.211
Al 2.475 0.000 2.211
Sr 0.000 0.000 0.000
W 0.000 0.000 5.626
CELL_PARAMETERS angstrom
-2.475 2.475 4.422
2.475 -2.475 4.422
2.475 2.475 -4.422
```

Output
* E_form: 0.53 eV/atom
* calculated total energy: -0.238 Ha/atom

---

Below is crystalline SrTlIr2 at its relaxed geometry, with properties calculated at the PBE level. Values from VASP.

Quantum ESPRESSO input file:
```
&SYSTEM
  ibrav = 0, nat = 8, ntyp = 3
/
ATOMIC_SPECIES
Sr 87.62 Sr.upf
Tl 204.38 Tl.upf
Ir 192.22 Ir.upf
ATOMIC_POSITIONS angstrom
Sr 1.073 -5.191 -1.760
Tl 0.000 0.000 0.000
Ir -0.874 -5.006 -4.167
Tl -0.928 -7.675 -4.517
Sr 1.567 -8.809 0.349
Ir 0.883 -13.901 -3.448
Ir 1.730 -5.832 1.203
Ir -0.461 -8.230 -1.924
CELL_PARAMETERS angstrom
-1.422 -4.058 -6.627
3.569 -6.325 3.107
-1.508 -6.102 -0.649
```

Output
* E_form: 0.66 eV/atom
* calculated total energy: -0.176 Ha/atom
* polymorph energy (0 for the lowest one): 580 meV/atom

---

Below is crystalline LiAc2Tb at its relaxed geometry, with properties calculated at the PBE level. Values from VASP.

Quantum ESPRESSO input file:
```
&SYSTEM
  ibrav = 0, nat = 4, ntyp = 3
/
ATOMIC_SPECIES
Ac 227.00 Ac.upf
Li 6.94 Li.upf
Tb 158.93 Tb.upf
ATOMIC_POSITIONS angstrom
Ac 1.461 -6.820 1.494
Li -1.172 -0.778 -2.408
Ac 0.437 -2.042 0.447
Tb -0.223 -5.209 -1.438
CELL_PARAMETERS angstrom
-3.638 -1.026 -1.127
1.293 -0.531 -3.688
1.898 -8.862 1.941
```

Output
* E_form: 0.07 eV/atom
* calculated total energy: -0.133 Ha/atom
* polymorph energy (0 for the lowest one): 0 meV/atom

---

Below is crystalline ScN at its relaxed geometry, with properties calculated at the PBE level. Values from VASP.

Quantum ESPRESSO input file:
```
&SYSTEM
  ibrav = 0, nat = 8, ntyp = 2
/
ATOMIC_SPECIES
N 14.01 N.upf
Sc 44.96 Sc.upf
ATOMIC_POSITIONS angstrom
N 3.488 2.362 0.526
N 1.681 2.362 3.317
Sc 4.276 0.000 0.691
Sc 0.893 0.000 3.152
N 3.102 0.000 2.448
N 2.068 0.000 1.395
Sc 1.280 2.362 1.230
Sc 3.889 2.362 2.613
CELL_PARAMETERS angstrom
5.942 0.000 -0.002
0.000 4.725 0.000
-0.773 0.000 3.844
```

Output
* ΔE_f (raw): -0.81 eV/atom
* calculated total energy: -0.299 Ha/atom

---

Below is crystalline PuAg2SnBr8 at its relaxed geometry, with properties calculated at the PBE level. Values from VASP.

Quantum ESPRESSO input file:
```
&SYSTEM
  ibrav = 0, nat = 12, ntyp = 4
/
ATOMIC_SPECIES
Ag 107.87 Ag.upf
Br 79.90 Br.upf
Pu 244.00 Pu.upf
Sn 118.71 Sn.upf
ATOMIC_POSITIONS angstrom
Ag 3.341 3.223 6.415
Br 2.232 1.824 4.299
Br 5.761 1.216 2.048
Ag 3.336 3.228 2.185
Br 0.915 5.235 6.552
Pu 0.000 0.000 0.000
Br 4.444 4.627 4.301
Br 0.910 5.226 2.046
Br 2.175 1.802 -0.002
Br 5.766 1.224 6.554
Br 4.501 4.648 8.602
Sn 0.004 0.006 4.304
CELL_PARAMETERS angstrom
6.979 -0.275 -0.002
-0.310 6.714 -0.006
0.008 0.012 8.608
```

Output
* ΔE_f (raw): -0.83 eV/atom
* calculated total energy: -0.145 Ha/atom

---

Below is crystalline Ho3InNi at its relaxed geometry, with properties calculated at the PBE level. Values from VASP.

Quantum ESPRESSO input file:
```
&SYSTEM
  ibrav = 0, nat = 10, ntyp = 3
/
ATOMIC_SPECIES
Ho 164.93 Ho.upf
In 114.82 In.upf
Ni 58.69 Ni.upf
ATOMIC_POSITIONS angstrom
Ho 5.697 3.363 8.481
Ho 6.519 5.557 5.536
In 3.699 4.201 6.008
Ho 4.580 3.837 2.856
Ni 5.127 1.284 10.521
Ho 0.760 -0.070 6.906
In 3.580 1.285 6.434
Ho 2.700 1.650 9.586
Ni 2.152 4.202 1.920
Ho 1.583 2.123 3.960
CELL_PARAMETERS angstrom
4.988 0.000 1.393
2.139 5.680 1.969
0.153 -0.193 9.080
```

Output
* E_form: -0.32 eV/atom
* calculated total energy: -0.175 Ha/atom
* polymorph energy (0 for the lowest one): 0 meV/atom

---

Below is crystalline CrCo2Rh at its relaxed geometry, with properties calculated at the PBE level. Values from VASP.

Quantum ESPRESSO input file:
```
&SYSTEM
  ibrav = 0, nat = 4, ntyp = 3
/
ATOMIC_SPECIES
Co 58.93 Co.upf
Cr 52.00 Cr.upf
Rh 102.91 Rh.upf
ATOMIC_POSITIONS angstrom
Co 4.342 4.342 4.342
Cr 0.000 0.000 0.000
Rh 2.895 2.895 2.895
Co 1.447 1.447 1.447
CELL_PARAMETERS angstrom
0.000 2.895 2.895
2.895 0.000 2.895
2.895 2.895 0.000
```

Output
* E_form: 0.25 eV/atom
* calculated total energy: -0.277 Ha/atom

---

Below is crystalline CsNpCo2Cl8 at its relaxed geometry, with properties calculated at the PBE level. Values from VASP.

Quantum ESPRESSO input file:
```
&SYSTEM
  ibrav = 0, nat = 12, ntyp = 4
/
ATOMIC_SPECIES
Cl 35.45 Cl.upf
Np 237.00 Np.upf
Co 58.93 Co.upf
Cs 132.91 Cs.upf
ATOMIC_POSITIONS angstrom
Cl -4.955 -2.057 -5.949
Cl -5.320 -1.450 -2.204
Np 0.000 0.000 0.000
Co -3.269 -2.403 -1.859
Cl -8.407 -1.484 -4.438
Cl -9.658 -5.696 -5.807
Cl -8.186 -8.197 -1.389
Co -9.872 -7.851 -5.479
Cl -3.483 -4.558 -1.530
Cs -6.571 -5.127 -3.669
Cl -4.734 -8.769 -2.900
Cl -7.822 -8.804 -5.134
CELL_PARAMETERS angstrom
-6.449 0.525 -0.747
-2.656 -0.638 -5.912
-4.037 -10.141 -0.679
```

Output
* ΔE_f (raw): -1.20 eV/atom
* calculated total energy: -0.175 Ha/atom

---

Below is crystalline Sc6Ga3Pd at its relaxed geometry, with properties calculated at the PBE level. Values from VASP.

Quantum ESPRESSO input file:
```
&SYSTEM
  ibrav = 0, nat = 20, ntyp = 3
/
ATOMIC_SPECIES
Ga 69.72 Ga.upf
Sc 44.96 Sc.upf
Pd 106.42 Pd.upf
ATOMIC_POSITIONS angstrom
Ga -0.441 -5.335 2.964
Sc -2.756 -2.300 6.607
Ga -1.056 -2.479 4.284
Sc -3.437 -0.736 3.686
Sc -4.227 -4.793 7.765
Pd -4.820 -1.981 1.483
Sc 1.095 -4.238 5.299
Ga -4.454 -3.462 4.703
Sc -1.283 -1.148 1.223
Sc -2.754 -3.641 2.380
Ga -5.069 -0.606 6.024
Ga -4.574 -2.049 8.937
Ga -0.936 -3.892 0.051
Sc 1.638 -6.974 3.785
Pd -0.689 -3.960 7.505
Sc -7.148 1.032 5.203
Sc -6.605 -1.703 3.688
Sc 0.979 -2.984 2.254
Sc -2.073 -5.205 5.301
Sc -6.489 -2.957 6.733
CELL_PARAMETERS angstrom
-2.434 -3.834 -1.486
5.002 -4.962 4.609
-8.078 2.855 5.865
```

Output
* E_form: -0.54 eV/atom
* calculated total energy: -0.212 Ha/atom

---

Below is crystalline HfScZnPd at its relaxed geometry, with properties calculated at the PBE level. Values from VASP.

Quantum ESPRESSO input file:
```
&SYSTEM
  ibrav = 0, nat = 4, ntyp = 4
/
ATOMIC_SPECIES
Hf 178.49 Hf.upf
Zn 65.41 Zn.upf
Pd 106.42 Pd.upf
Sc 44.96 Sc.upf
ATOMIC_POSITIONS angstrom
Hf 0.000 0.000 2.346
Zn 1.665 1.665 3.983
Pd 1.665 1.665 0.748
Sc 0.000 0.000 5.656
CELL_PARAMETERS angstrom
3.329 0.000 0.000
0.000 3.329 0.000
0.000 0.000 6.604
```

Output
* E_form: -0.53 eV/atom
* calculated total energy: -0.228 Ha/atom

---

Below is crystalline EuCd4Au at its relaxed geometry, with properties calculated at the PBE level. Values from VASP.

Quantum ESPRESSO input file:
```
&SYSTEM
  ibrav = 0, nat = 6, ntyp = 3
/
ATOMIC_SPECIES
Cd 112.41 Cd.upf
Eu 151.96 Eu.upf
Au 196.97 Au.upf
ATOMIC_POSITIONS angstrom
Cd 7.342 4.239 2.998
Cd 5.870 3.389 0.593
Eu 2.935 1.695 1.198
Au 0.000 0.000 0.000
Cd 4.398 4.239 2.998
Cd 5.870 1.689 2.998
CELL_PARAMETERS angstrom
5.870 0.000 0.000
2.935 5.084 0.000
2.935 1.695 4.793
```

Output
* E_form: -0.16 eV/atom
* calculated total energy: -0.111 Ha/atom

---

Listing M_tot for the structures above in their given order: 0.00, 0.00, 0.00, 0.00, 0.00, 4.28, 0.00, 4.43, 2.00, 0.36, 0.00, 7.44 μB per cell.